A) DFT (PBE-GGA) results for a geometry-optimized Tb2Nd3Ho8 structure.

Total moment: 0.0 μB per formula unit
Fermi-level density of states: 18.13 states/eV/f.u.

a b c (Å): 10.682 10.682 7.979
angles (deg): 94.23 94.23 27.33
Fractional coordinates of all 13 atoms:
Tb 0.231 0.231 0.346
Tb 0.769 0.769 0.654
Nd 0.000 0.000 0.500
Nd 0.461 0.461 0.193
Nd 0.539 0.539 0.807
Ho 0.078 0.078 0.114
Ho 0.156 0.156 0.731
Ho 0.307 0.307 0.961
Ho 0.383 0.383 0.579
Ho 0.617 0.617 0.421
Ho 0.693 0.693 0.039
Ho 0.844 0.844 0.269
Ho 0.922 0.922 0.886

---

B) DFT (PBE-GGA) results for a geometry-optimized Tb2Nd3Ho8 structure.

Total moment: 0.0 μB per formula unit
Fermi-level density of states: 22.50 states/eV/f.u.

a b c (Å): 10.775 10.775 5.629
angles (deg): 90.04 90.04 41.86
Fractional coordinates of all 13 atoms:
Tb 0.241 0.241 0.499
Tb 0.759 0.759 0.501
Nd 0.000 0.000 0.500
Nd 0.292 0.708 0.000
Nd 0.708 0.292 0.000
Ho 0.135 0.135 0.000
Ho 0.182 0.600 0.500
Ho 0.329 0.329 0.999
Ho 0.400 0.818 0.500
Ho 0.600 0.182 0.500
Ho 0.671 0.671 0.001
Ho 0.818 0.400 0.500
Ho 0.865 0.865 0.000

---

The winner here is A), beating the second structure by 0.229 eV/atom.